[1]
VASP calculation (GGA-PBE) on HgIr4Cl after structural relaxation.

Crystal system: cubic
Raw formation energy in kcal/mol of atoms: 23.322
Magnetic moment in μB per cell: 4.51

Lattice parameters (Å, degrees): 5.3354 5.3354 5.3354 60.00 60.00 60.00
Element x y z (fractional)
Hg: 0.0000 0.0000 0.0000
Ir: 0.1254 0.6249 0.6249
Ir: 0.6249 0.1254 0.6249
Ir: 0.6249 0.6249 0.1254
Ir: 0.6249 0.6249 0.6249
Cl: 0.2500 0.2500 0.2500

=====

[2]
VASP calculation (GGA-PBE) on Ac2Ga4Ni3Ir after structural relaxation.

Crystal system: tetragonal
Formation energy from the elements in eV/f.u.: -5.5
Magnetic moment in μB per cell: 0.00

Lattice parameters (Å, degrees): 4.3069 4.3069 10.2166 90.00 90.00 90.00
Element x y z (fractional)
Ac: 0.0000 0.5000 0.2502
Ac: 0.5000 0.0000 0.7498
Ga: 0.0000 0.0000 0.0000
Ga: 0.0000 0.5000 0.6260
Ga: 0.5000 0.0000 0.3740
Ga: 0.5000 0.5000 0.0000
Ni: 0.0000 0.5000 0.8747
Ni: 0.5000 0.0000 0.1253
Ni: 0.5000 0.5000 0.5000
Ir: 0.0000 0.0000 0.5000

=====

[3]
VASP calculation (GGA-PBE) on TaNbCrRu after structural relaxation.

Crystal system: tetragonal
Formation energy from the elements in eV/f.u.: -1.0
Magnetic moment in μB per cell: 0.00

Lattice parameters (Å, degrees): 3.1287 3.1287 6.3106 90.00 90.00 90.00
Element x y z (fractional)
Ta: 0.0000 0.0000 0.0000
Nb: 0.0000 0.0000 0.5211
Cr: 0.5000 0.5000 0.7599
Ru: 0.5000 0.5000 0.2568

=====

[4]
VASP calculation (GGA-PBE) on ZnCo2Sn after structural relaxation.

Crystal system: orthorhombic
Formation energy from the elements in eV/f.u.: 2.8
Magnetic moment in μB per cell: 3.13

Lattice parameters (Å, degrees): 5.6834 5.6834 5.6834 147.87 136.28 55.28
Element x y z (fractional)
Zn: 0.0000 0.0000 0.0000
Co: 0.2433 0.2433 0.0000
Co: 0.7567 0.7567 0.0000
Sn: 0.5000 0.5000 0.0000